KCdInCo2 PBE-GGA optimized geometry; Fermi-level density of states = 5.27 states/eV per cell; calculated volume = 135 Å³/cell; total DFT energy (no corrections) = -1.9264 eV per atom
1.0
4.834 0.000 0.000
0.000 4.834 0.000
0.000 0.000 5.789
K Cd In Co
1 1 1 2
direct
0.000 0.000 0.000
0.500 0.500 0.500
0.000 0.000 0.500
0.000 0.500 0.000
0.500 0.000 0.000